# 1
The following is a PBE-GGA calculation of crystalline Sc8Ni2Ag at its relaxed geometry, from Alexandria.

POSCAR file:
```
Sc8Ni2Ag
1.0
8.252 -1.677 0.000
8.252 1.677 0.000
-1.805 0.000 8.408
Sc Ni Ag
8 2 1
direct
0.027 0.027 0.190
0.134 0.134 0.676
0.319 0.319 0.619
0.345 0.345 0.997
0.655 0.655 0.003
0.681 0.681 0.381
0.866 0.866 0.324
0.973 0.973 0.810
0.245 0.245 0.216
0.755 0.755 0.784
0.500 0.500 0.500
```

- symmetry = C2/m
- D(E_F) (states/eV/f.u.) = 15.38
- offset from the most stable computed form (meV/atom) = 0



# 2
The following is a PBE-GGA calculation of crystalline TlP2Rh at its relaxed geometry, from Alexandria.

POSCAR file:
```
TlP2Rh
1.0
3.123 0.000 0.000
0.000 3.123 0.000
0.000 0.000 7.620
Tl P Rh
1 2 1
direct
0.000 0.000 0.000
0.000 0.000 0.541
0.500 0.500 0.371
0.500 0.500 0.687
```

- symmetry = P4mm
- D(E_F) (states/eV/f.u.) = 2.37
- offset from the most stable computed form (meV/atom) = 299



# 3
The following is a PBE-GGA calculation of crystalline KB3Au at its relaxed geometry, from Alexandria.

POSCAR file:
```
KB3Au
1.0
4.816 0.000 0.000
0.000 4.816 0.000
0.000 0.000 4.816
K B Au
1 3 1
direct
0.000 0.000 0.000
0.000 0.000 0.500
0.000 0.500 0.000
0.500 0.000 0.000
0.500 0.500 0.500
```

- symmetry = Pm-3m
- D(E_F) (states/eV/f.u.) = 4.63
- offset from the most stable computed form (meV/atom) = 1686



# 4
The following is a PBE-GGA calculation of crystalline Ca2AcSc at its relaxed geometry, from Alexandria.

POSCAR file:
```
Ca2AcSc
1.0
0.000 4.195 4.195
4.195 0.000 4.195
4.195 4.195 0.000
Ca Ac Sc
2 1 1
direct
0.250 0.250 0.250
0.750 0.750 0.750
0.000 0.000 0.000
0.500 0.500 0.500
```

- symmetry = Fm-3m
- D(E_F) (states/eV/f.u.) = 6.15
- offset from the most stable computed form (meV/atom) = 16



# 5
The following is a PBE-GGA calculation of crystalline FeMoCl2 at its relaxed geometry, from Alexandria.

POSCAR file:
```
FeMoCl2
1.0
-2.602 2.602 5.158
2.602 -2.602 5.158
2.602 2.602 -5.158
Fe Mo Cl
2 2 4
direct
0.000 0.000 0.000
0.750 0.250 0.500
0.250 0.750 0.500
0.500 0.500 0.000
0.097 0.625 0.972
0.375 0.347 0.472
0.653 0.125 0.028
0.875 0.903 0.528
```

- symmetry = I-42d
- D(E_F) (states/eV/f.u.) = 3.63
- offset from the most stable computed form (meV/atom) = 913



# 6
The following is a PBE-GGA calculation of crystalline Tl2SbSe at its relaxed geometry, from Alexandria.

POSCAR file:
```
Tl2SbSe
1.0
-3.363 3.363 6.890
3.363 -3.363 6.890
3.363 3.363 -6.890
Tl Sb Se
4 2 2
direct
0.117 0.625 0.992
0.375 0.367 0.492
0.633 0.125 0.008
0.875 0.883 0.508
0.250 0.750 0.500
0.500 0.500 0.000
0.000 0.000 0.000
0.750 0.250 0.500
```

- symmetry = I-42d
- D(E_F) (states/eV/f.u.) = 1.84
- offset from the most stable computed form (meV/atom) = 88



# 7
The following is a PBE-GGA calculation of crystalline LuHfMgSc at its relaxed geometry, from Alexandria.

POSCAR file:
```
LuHfMgSc
1.0
0.000 3.652 3.652
3.652 0.000 3.652
3.652 3.652 0.000
Lu Hf Mg Sc
1 1 1 1
direct
0.000 0.000 0.000
0.750 0.750 0.750
0.250 0.250 0.250
0.500 0.500 0.500
```

- symmetry = F-43m
- D(E_F) (states/eV/f.u.) = 6.95
- VASP energy (eV/atom) = -5.41



# 8
The following is a PBE-GGA calculation of crystalline CsMgBiS3 at its relaxed geometry, from Alexandria.

POSCAR file:
```
CsMgBiS3
1.0
9.674 0.000 0.000
0.000 4.203 0.000
-3.146 0.000 9.577
Cs Mg Bi S
2 2 2 6
direct
0.197 0.250 0.229
0.803 0.750 0.771
0.091 0.250 0.607
0.909 0.750 0.393
0.342 0.750 0.867
0.658 0.250 0.133
0.143 0.250 0.860
0.174 0.750 0.526
0.452 0.750 0.141
0.548 0.250 0.859
0.826 0.250 0.474
0.857 0.750 0.140
```

- symmetry = P2_1/m
- D(E_F) (states/eV/f.u.) = 0.00
- VASP energy (eV/atom) = -4.11



# 9
The following is a PBE-GGA calculation of crystalline AcNd2Ho5Er at its relaxed geometry, from Alexandria.

POSCAR file:
```
AcNd2Ho5Er
1.0
-4.418 4.418 7.777
4.418 -4.418 7.777
4.418 4.418 -7.777
Ac Nd Ho Er
2 4 10 2
direct
0.250 0.250 0.000
0.750 0.750 0.000
0.117 0.617 0.734
0.383 0.117 0.500
0.617 0.883 0.500
0.883 0.383 0.266
0.000 0.000 0.000
0.074 0.160 0.500
0.160 0.660 0.086
0.340 0.426 0.500
0.426 0.926 0.086
0.500 0.500 0.000
0.574 0.074 0.914
0.660 0.574 0.500
0.840 0.340 0.914
0.926 0.840 0.500
0.250 0.750 0.500
0.750 0.250 0.500
```

- symmetry = I4/mcm
- D(E_F) (states/eV/f.u.) = 9.43
- VASP energy (eV/atom) = -4.30



# 10
The following is a PBE-GGA calculation of crystalline HgIr2Au at its relaxed geometry, from Alexandria.

POSCAR file:
```
HgIr2Au
1.0
4.555 -1.442 0.000
4.555 1.442 0.000
-0.879 0.000 5.207
Hg Ir Au
1 2 1
direct
0.000 0.000 0.000
0.246 0.246 0.702
0.509 0.509 0.527
0.757 0.757 0.243
```

- symmetry = Cm
- D(E_F) (states/eV/f.u.) = 3.82
- VASP energy (eV/atom) = -4.89



# 11
The following is a PBE-GGA calculation of crystalline PrScAsH at its relaxed geometry, from Alexandria.

POSCAR file:
```
PrScAsH
1.0
4.148 0.000 0.000
0.000 4.148 0.000
0.000 0.000 8.748
Pr Sc As H
2 2 2 2
direct
0.250 0.250 0.150
0.750 0.750 0.850
0.250 0.750 0.500
0.750 0.250 0.500
0.250 0.250 0.714
0.750 0.750 0.286
0.250 0.750 0.000
0.750 0.250 0.000
```

- symmetry = P4/nmm
- D(E_F) (states/eV/f.u.) = 1.34
- VASP energy (eV/atom) = -5.75



# 12
The following is a PBE-GGA calculation of crystalline BaReW2Cl at its relaxed geometry, from Alexandria.

POSCAR file:
```
BaReW2Cl
1.0
5.357 0.000 0.000
0.000 5.357 0.000
0.000 0.000 5.250
Ba Re W Cl
1 1 2 1
direct
0.000 0.000 0.000
0.000 0.000 0.500
0.000 0.500 0.000
0.500 0.000 0.000
0.500 0.500 0.500
```

- symmetry = P4/mmm
- D(E_F) (states/eV/f.u.) = 8.44
- VASP energy (eV/atom) = -4.43



# 13
The following is a PBE-GGA calculation of crystalline Ca2MgSn at its relaxed geometry, from Alexandria.

POSCAR file:
```
Ca2MgSn
1.0
-2.434 2.434 11.163
2.434 -2.434 11.163
2.434 2.434 -11.163
Ca Mg Sn
4 2 2
direct
0.114 0.625 0.989
0.375 0.364 0.489
0.636 0.125 0.011
0.875 0.886 0.511
0.250 0.750 0.500
0.500 0.500 0.000
0.000 0.000 0.000
0.750 0.250 0.500
```

- symmetry = I-42d
- D(E_F) (states/eV/f.u.) = 4.26
- VASP energy (eV/atom) = -2.36